Entry from the Alexandria database: crystalline Ba2CdH at its relaxed geometry (PBE).

Properties
Theoretical density: 4.674 g/cm3
Energy relative to the lowest polymorph listed for this composition: 1.159 eV per formula unit
Energy: -2.00 eV/atom

Unit cell a=5.799 b=5.799 c=5.799 alpha=60.00 beta=60.00 gamma=60.00
Atoms (fractional coordinates):
Ba: 0.250 0.250 0.250
Ba: 0.750 0.750 0.750
Cd: 0.000 0.000 0.000
H: 0.500 0.500 0.500